Mg6CuNi, optimized geometry, DFT GGA-PBE; energy of formation from the pure elements = -0.028 eV per atom; total moment = 0.0 μB/f.u.
1.0
3.644 -4.694 0.000
3.644 4.694 0.000
0.000 0.000 4.347
Mg Cu Ni
6 1 1
Cartesian
5.794 1.262 2.174
1.494 1.262 2.174
3.644 3.498 2.174
5.181 -1.258 0.000
2.107 -1.258 0.000
3.644 1.220 0.000
3.644 -0.674 2.174
3.644 -4.054 0.000


AlTl2Pb, optimized geometry, DFT GGA-PBE; energy of formation from the pure elements = 0.154 eV per atom; total moment = 0.0 μB/f.u.
1.0
3.402 -0.067 0.000
-1.180 3.192 0.000
0.000 0.000 10.504
Pb Tl Al
1 2 1
Cartesian
1.111 1.563 7.575
0.000 0.000 0.002
1.111 1.563 2.914
0.000 0.000 5.267